The following is a PBEsol calculation of a relaxed Ca3CI crystal, from the Alexandria database.

```
5
Lattice="-3.519 -0.144 -4.383 3.052 -4.117 -2.314 -3.150 -3.827 2.654" Properties=species:S:1:pos:R:3 pbc="T T T"
C -1.808 -4.044 -2.022
I 0.000 0.000 0.000
Ca -1.759 -0.072 -2.192
Ca 1.526 -2.058 -1.157
Ca -1.575 -1.914 1.327
```

Computed properties:
DOS(E_F): 4.14 states/eV/cell
uncorrected formation energy: 1.211 eV/atom
uncorrected energy: -2.35 eV/atom
density: 2.42 g cm⁻³

---

The following is a PBEsol calculation of a relaxed CaPC2I crystal, from the Alexandria database.

```
5
Lattice="3.888 0.000 0.000 0.000 3.888 0.000 0.000 0.000 5.924" Properties=species:S:1:pos:R:3 pbc="T T T"
C 1.944 0.000 0.000
C 0.000 1.944 0.000
Ca 0.000 0.000 2.962
I 1.944 1.944 2.962
P 0.000 0.000 0.000
```

Computed properties:
DOS(E_F): 2.74 states/eV/cell
uncorrected formation energy: 1.158 eV/atom
uncorrected energy: -4.64 eV/atom
density: 4.12 g cm⁻³

---

The following is a PBEsol calculation of a relaxed Ca2PtCI crystal, from the Alexandria database.

```
5
Lattice="-3.566 -1.051 1.109 -1.475 -0.349 -5.072 1.473 -5.083 -0.079" Properties=species:S:1:pos:R:3 pbc="T T T"
C 0.000 0.000 0.000
Ca -0.737 -0.175 -2.536
Ca 0.737 -2.542 -0.039
Pt -1.783 -0.525 0.555
I -1.784 -3.242 -2.020
```

Computed properties:
DOS(E_F): 1.89 states/eV/cell
uncorrected formation energy: -0.650 eV/atom
uncorrected energy: -5.18 eV/atom
density: 6.33 g cm⁻³

---

The following is a PBEsol calculation of a relaxed CaScC2I crystal, from the Alexandria database.

```
5
Lattice="-2.883 -1.080 3.099 -0.688 -3.835 -1.976 4.075 -2.276 2.998" Properties=species:S:1:pos:R:3 pbc="T T T"
C -1.442 -0.540 1.550
C -0.344 -1.918 -0.988
Sc 0.252 -3.596 2.061
I 2.038 -1.138 1.499
Ca 0.000 0.000 0.000
```

Computed properties:
DOS(E_F): 3.48 states/eV/cell
uncorrected formation energy: 1.808 eV/atom
uncorrected energy: -4.15 eV/atom
density: 3.70 g cm⁻³

---

The following is a PBEsol calculation of a relaxed Ca2SiCI crystal, from the Alexandria database.

```
5
Lattice="4.225 0.000 0.000 0.000 5.743 0.000 0.000 0.000 5.743" Properties=species:S:1:pos:R:3 pbc="T T T"
Ca 0.000 0.000 2.872
Ca 0.000 2.872 0.000
Si 2.113 2.872 2.872
C 2.113 0.000 0.000
I 0.000 0.000 0.000
```

Computed properties:
DOS(E_F): 4.07 states/eV/cell
uncorrected formation energy: 1.037 eV/atom
uncorrected energy: -3.25 eV/atom
density: 2.95 g cm⁻³

---

The following is a PBEsol calculation of a relaxed CaInC3 crystal, from the Alexandria database.

```
5
Lattice="4.320 0.000 0.000 0.000 4.320 0.000 0.000 0.000 4.320" Properties=species:S:1:pos:R:3 pbc="T T T"
C 0.000 2.160 0.000
C 0.000 0.000 2.160
C 2.160 0.000 0.000
In 0.000 0.000 0.000
Ca 2.160 2.160 2.160
```

Computed properties:
DOS(E_F): 3.79 states/eV/cell
energy of formation: 2.297 eV per atom
uncorrected energy: -4.51 eV/atom
density: 3.93 g cm⁻³

---

The following is a PBEsol calculation of a relaxed Ca2InOsC crystal, from the Alexandria database.

```
5
Lattice="4.849 0.000 0.000 0.000 5.713 0.000 0.000 0.000 5.713" Properties=species:S:1:pos:R:3 pbc="T T T"
Ca 0.000 0.000 2.857
Ca 0.000 2.857 0.000
In 0.000 0.000 0.000
C 2.424 2.857 2.857
Os 2.424 0.000 0.000
```

Computed properties:
DOS(E_F): 5.18 states/eV/cell
energy of formation: 2.132 eV per atom
uncorrected energy: -3.69 eV/atom
density: 4.17 g cm⁻³

---

The following is a PBEsol calculation of a relaxed CaIr3C crystal, from the Alexandria database.

```
5
Lattice="4.646 0.000 0.000 0.000 4.646 0.000 0.000 0.000 4.646" Properties=species:S:1:pos:R:3 pbc="T T T"
C 2.323 2.323 2.323
Ir 0.000 0.000 2.323
Ir 0.000 2.323 0.000
Ir 2.323 0.000 0.000
Ca 0.000 0.000 0.000
```

Computed properties:
DOS(E_F): 6.01 states/eV/cell
energy of formation: 3.931 eV per atom
uncorrected energy: -4.32 eV/atom
density: 10.41 g cm⁻³

---

The following is a PBEsol calculation of a relaxed RbCa2IrC crystal, from the Alexandria database.

```
5
Lattice="-2.230 -2.275 3.443 4.957 -1.337 2.326 -0.147 4.744 3.039" Properties=species:S:1:pos:R:3 pbc="T T T"
Ir -1.115 -1.137 1.722
Ca 2.478 -0.669 1.163
Ca -0.073 2.372 1.520
C 1.290 0.566 4.404
Rb 0.000 0.000 0.000
```

Computed properties:
DOS(E_F): 4.09 states/eV/cell
energy of formation: 2.606 eV per atom
uncorrected energy: -2.35 eV/atom
density: 4.12 g cm⁻³

---

The following is a PBEsol calculation of a relaxed CaIrC2Se crystal, from the Alexandria database.

```
5
Lattice="3.898 0.000 0.000 0.000 3.898 0.000 0.000 0.000 6.138" Properties=species:S:1:pos:R:3 pbc="T T T"
Ir 0.000 0.000 0.000
Ca 0.000 0.000 3.069
C 1.949 0.000 0.000
C 0.000 1.949 0.000
Se 1.949 1.949 3.069
```

Computed properties:
DOS(E_F): 2.43 states/eV/cell
uncorrected formation energy: 0.582 eV/atom
uncorrected energy: -6.44 eV/atom
density: 5.97 g cm⁻³

---

The following is a PBEsol calculation of a relaxed CaTeIr2C crystal, from the Alexandria database.

```
5
Lattice="-2.788 -2.955 -0.068 0.705 -0.755 3.929 -3.663 3.426 1.315" Properties=species:S:1:pos:R:3 pbc="T T T"
Ir 0.352 -0.377 1.965
Ir -1.394 -1.477 -0.034
Ca -2.873 -0.142 2.588
C 0.000 0.000 0.000
Te -1.831 1.713 0.657
```

Computed properties:
DOS(E_F): 2.56 states/eV/cell
uncorrected formation energy: 0.206 eV/atom
uncorrected energy: -6.78 eV/atom
density: 10.95 g cm⁻³

---

The following is a PBEsol calculation of a relaxed KCaC3 crystal, from the Alexandria database.

```
5
Lattice="-4.181 -1.955 0.436 1.637 -3.916 -1.864 1.154 -1.528 4.222" Properties=species:S:1:pos:R:3 pbc="T T T"
C 0.818 -1.958 -0.932
C -2.091 -0.977 0.218
C 0.577 -0.764 2.111
Ca 0.000 0.000 0.000
K -0.695 -3.699 1.397
```

Computed properties:
DOS(E_F): 5.21 states/eV/cell
energy of formation: 2.934 eV per atom
uncorrected energy: -3.51 eV/atom
density: 1.92 g cm⁻³